Entry from Alexandria via LeMat-Bulk: a geometry-optimized YHg2H2 structure (PBE).

```
YHg2H2
1.0
-4.151 0.059 -4.595
-4.314 -2.182 3.870
-1.205 4.416 1.145
H Y Hg
4 2 4
direct
0.755 0.255 0.000
0.255 0.245 0.000
0.745 0.755 0.000
0.245 0.745 0.000
0.500 0.500 0.000
0.000 0.000 0.000
0.753 0.253 0.500
0.253 0.247 0.500
0.247 0.747 0.500
0.747 0.753 0.500
```

Computed properties:
Energy above the most stable polymorph in this dataset in meV per atom: 0
E_tot in eV/atom: -2.940
Symmetry: P4/mbm, No. 127
Volume in A^3/atom: 18.09
Magnetization in μB/cell: 0.0

Entry from Alexandria via LeMat-Bulk: a geometry-optimized ScSi2Pd structure (PBE).

```
ScSi2Pd
1.0
-1.710 2.362 -0.653
-2.967 -1.086 3.841
3.864 3.023 0.815
Si Pd Sc
2 1 1
direct
0.500 0.554 0.946
0.500 0.054 0.446
0.500 0.554 0.446
0.000 0.054 0.946
```

Computed properties:
Formation energy from raw total energies in eV/atom: -0.55
E_tot in eV/atom: -6.139
Symmetry: Cmmm, No. 65
Volume in A^3/atom: 16.31
Magnetization in μB/cell: 0.0

Entry from Alexandria via LeMat-Bulk: a geometry-optimized InRu3 structure (PBE).

```
InRu3
1.0
-0.418 3.050 2.224
0.890 -1.492 2.213
6.372 0.084 1.084
Ru In
3 1
direct
0.500 0.225 0.275
0.000 0.500 0.500
0.500 0.775 0.725
0.000 0.000 0.000
```

Computed properties:
Energy of formation in eV per atom: 0.2340
E_tot in eV/atom: -7.407
Symmetry: P2/m, No. 10
Volume in A^3/atom: 15.53
Magnetization in μB/cell: 0.0

Entry from Alexandria via LeMat-Bulk: a geometry-optimized Tb2NdSmDy2 structure (PBE).

```
Tb2NdSmDy2
1.0
-2.992 -0.954 -1.311
0.431 -5.756 3.206
-8.437 7.183 14.033
Sm Dy Tb Nd
2 4 4 2
direct
0.500 0.500 0.000
0.000 0.000 0.500
0.000 0.724 0.851
0.500 0.776 0.351
0.500 0.224 0.649
0.000 0.276 0.149
0.500 0.726 0.685
0.000 0.226 0.815
0.000 0.774 0.185
0.500 0.274 0.315
0.000 0.000 0.000
0.500 0.500 0.500
```

Computed properties:
Energy of formation in eV per atom: 0.2724
E_tot in eV/atom: -4.386
Symmetry: Pnnm, No. 58
Volume in A^3/atom: 33.48
Magnetization in μB/cell: 0.0

Entry from Alexandria via LeMat-Bulk: a geometry-optimized KReAs2 structure (PBE).

```
KReAs2
1.0
-0.055 -2.089 5.228
-1.541 -5.368 0.715
3.546 2.899 -3.274
K Re As
1 1 2
direct
0.500 0.500 0.000
0.750 0.250 0.500
0.250 0.750 0.500
0.000 0.000 0.000
```

Computed properties:
Energy of formation in eV per atom: 1.0681
Energy above the most stable polymorph in this dataset in meV per atom: 1167
E_tot in eV/atom: -4.643
Symmetry: I-4m2, No. 119
Volume in A^3/atom: 20.14
Magnetization in μB/cell: 2.1

Entry from Alexandria via LeMat-Bulk: a geometry-optimized Tc4Au structure (PBE).

```
Tc4Au
1.0
-3.779 0.696 2.950
-0.762 -4.782 0.152
2.934 -0.345 3.840
Tc Au
4 1
direct
0.500 0.000 0.500
0.500 0.500 0.000
0.000 0.500 0.500
0.000 0.000 0.000
0.500 0.500 0.500
```

Computed properties:
Energy of formation in eV per atom: 2.6613
Energy above the most stable polymorph in this dataset in meV per atom: 2504
E_tot in eV/atom: -6.287
Symmetry: Pm-3m, No. 221
Volume in A^3/atom: 22.74
Magnetization in μB/cell: 3.6

Entry from Alexandria via LeMat-Bulk: a geometry-optimized AcTbSmDy2 structure (PBE).

```
AcTbSmDy2
1.0
-0.974 -5.693 -2.855
3.362 2.046 -5.225
5.678 -4.060 6.158
Dy Ac Tb Sm
4 2 2 2
direct
0.500 0.245 0.000
0.000 0.245 0.000
0.500 0.755 0.000
0.000 0.755 0.000
0.250 0.659 0.317
0.750 0.341 0.683
0.750 0.772 0.545
0.250 0.228 0.455
0.250 0.848 0.696
0.750 0.152 0.304
```

Computed properties:
Energy of formation in eV per atom: 0.3799
E_tot in eV/atom: -4.152
Symmetry: Cmcm, No. 63
Volume in A^3/atom: 36.73
Magnetization in μB/cell: 0.0

Entry from Alexandria via LeMat-Bulk: a geometry-optimized CsLaNF2 structure (PBE).

```
CsLaNF2
1.0
-0.930 3.133 3.672
3.362 -2.263 2.782
3.431 3.008 -1.698
F La N Cs
2 1 1 1
direct
0.000 0.500 0.000
0.500 0.000 0.000
0.500 0.500 0.500
0.000 0.000 0.500
0.000 0.000 0.000
```

Computed properties:
Formation energy from raw total energies in eV/atom: -0.68
Energy above the most stable polymorph in this dataset in meV per atom: 1583
E_tot in eV/atom: -4.255
Symmetry: P4/mmm, No. 123
Volume in A^3/atom: 23.53
Magnetization in μB/cell: 0.4

Entry from Alexandria via LeMat-Bulk: a geometry-optimized Li2CrCo structure (PBE).

```
Li2CrCo
1.0
-7.994 0.574 -4.543
-6.519 0.251 -6.505
-7.368 -1.712 -5.259
Li Cr Co
2 1 1
direct
0.996 0.996 0.996
0.504 0.504 0.504
0.750 0.750 0.750
0.250 0.250 0.250
```

Computed properties:
Energy of formation in eV per atom: 0.3363
Energy above the most stable polymorph in this dataset in meV per atom: 77
E_tot in eV/atom: -4.803
Symmetry: R-3m, No. 166
Volume in A^3/atom: 12.08
Magnetization in μB/cell: 1.7

Entry from Alexandria via LeMat-Bulk: a geometry-optimized SiRh2W structure (PBE).

```
SiRh2W
1.0
-5.380 -0.540 -2.845
0.725 -1.870 4.179
-2.139 1.471 1.033
Rh W Si
2 1 1
direct
0.500 0.000 0.500
0.000 0.000 0.000
0.500 0.500 0.000
0.000 0.500 0.500
```

Computed properties:
Formation energy from raw total energies in eV/atom: -0.21
E_tot in eV/atom: -8.484
Symmetry: Cmmm, No. 65
Volume in A^3/atom: 14.26
Magnetization in μB/cell: 0.0

Entry from Alexandria via LeMat-Bulk: a geometry-optimized NbOsBr3 structure (PBE).

```
NbOsBr3
1.0
-2.714 -2.740 3.620
4.533 -1.869 1.984
0.251 4.121 3.307
Br Os Nb
3 1 1
direct
0.500 0.000 0.000
0.000 0.000 0.500
0.000 0.500 0.000
0.500 0.500 0.500
0.000 0.000 0.000
```

Computed properties:
Formation energy from raw total energies in eV/atom: 1.11
Energy above the most stable polymorph in this dataset in meV per atom: 0
E_tot in eV/atom: -4.152
Symmetry: Pm-3m, No. 221
Volume in A^3/atom: 29.60
Magnetization in μB/cell: 2.0

- The lowest volume belongs to which entry?
  Li2CrCo

- The highest volume belongs to which entry?
  AcTbSmDy2

- Which value of magnetization does entry 9 give?
  1.7 μB/cell